Entry 1:
Density functional theory data (PBE) for a geometry-optimized AlTl4Se4 structure.

POSCAR file:
```
AlTl4Se4
1.0
9.080 0.000 0.000
0.000 9.080 0.000
0.000 0.000 6.754
Al Tl Se
2 8 8
Direct
0.250 0.750 0.250
0.750 0.250 0.750
0.021 0.250 0.087
0.250 0.021 0.587
0.250 0.479 0.587
0.479 0.250 0.087
0.521 0.750 0.913
0.750 0.521 0.413
0.750 0.979 0.413
0.979 0.750 0.913
0.029 0.750 0.449
0.250 0.529 0.051
0.250 0.971 0.051
0.471 0.750 0.449
0.529 0.250 0.551
0.750 0.029 0.949
0.750 0.471 0.949
0.971 0.250 0.551
```

Calculated values
Raw formation energy: -0.4820 eV per atom
Crystal system: tetragonal
Symmetry: No. 137

=====

Entry 2:
Density functional theory data (PBE) for a geometry-optimized TmAlTl2Se4 structure.

POSCAR file:
```
TmAlTl2Se4
1.0
-4.141 4.296 5.992
4.141 -4.296 5.992
4.141 4.296 -5.992
Tm Al Tl Se
2 2 4 8
Direct
0.000 0.000 0.000
0.500 0.000 0.500
0.500 0.000 0.000
0.500 0.500 0.500
0.000 0.000 0.500
0.000 0.500 0.000
0.000 0.500 0.500
0.500 0.500 0.000
0.275 0.251 0.475
0.275 0.800 0.025
0.286 0.239 0.047
0.308 0.761 0.547
0.692 0.239 0.453
0.714 0.761 0.953
0.725 0.200 0.975
0.725 0.749 0.525
```

Calculated values
Raw formation energy: -0.9002 eV per atom
Crystal system: orthorhombic
Symmetry: No. 74

=====

Entry 3:
Density functional theory data (PBE) for a geometry-optimized Tm3AlTl3Se8 structure.

POSCAR file:
```
Tm3AlTl3Se8
1.0
7.020 -4.055 0.000
7.020 4.055 0.000
-4.673 0.000 7.675
Tm Al Tl Se
3 1 3 8
Direct
0.000 0.000 0.000
0.000 0.500 0.000
0.500 0.000 0.000
0.500 0.500 0.000
0.000 0.500 0.500
0.500 0.000 0.500
0.500 0.500 0.500
0.235 0.235 0.206
0.254 0.719 0.193
0.281 0.281 0.807
0.281 0.746 0.807
0.719 0.254 0.193
0.719 0.719 0.193
0.746 0.281 0.807
0.765 0.765 0.794
```

Calculated values
Raw formation energy: -1.1822 eV per atom
Crystal system: monoclinic
Symmetry: No. 12

=====

Entry 4:
Density functional theory data (PBE) for a geometry-optimized UAlTl2Se5 structure.

POSCAR file:
```
UAlTl2Se5
1.0
2.051 -9.445 0.000
2.051 9.445 0.000
0.000 0.000 14.301
U Al Tl Se
2 2 4 10
Direct
0.204 0.796 0.500
0.796 0.204 0.000
0.434 0.566 0.893
0.566 0.434 0.393
0.115 0.885 0.150
0.118 0.882 0.803
0.882 0.118 0.303
0.885 0.115 0.650
0.051 0.949 0.494
0.296 0.704 0.128
0.306 0.694 0.862
0.342 0.658 0.483
0.497 0.503 0.754
0.503 0.497 0.254
0.658 0.342 0.983
0.694 0.306 0.362
0.704 0.296 0.628
0.949 0.051 0.994
```

Calculated values
Raw formation energy: -0.7820 eV per atom
Crystal system: orthorhombic
Symmetry: No. 36

=====

Entry 5:
Density functional theory data (PBE) for a geometry-optimized UAlTlSe4 structure.

POSCAR file:
```
UAlTlSe4
1.0
6.729 0.000 0.000
0.000 6.916 0.000
-2.858 0.000 8.663
U Al Tl Se
2 2 2 8
Direct
0.225 0.250 0.053
0.775 0.750 0.947
0.232 0.750 0.830
0.768 0.250 0.170
0.249 0.250 0.558
0.751 0.750 0.442
0.015 0.511 0.210
0.015 0.989 0.210
0.438 0.750 0.662
0.457 0.750 0.090
0.543 0.250 0.910
0.562 0.250 0.338
0.985 0.011 0.790
0.985 0.489 0.790
```

Calculated values
Raw formation energy: -0.8654 eV per atom
Crystal system: monoclinic
Symmetry: No. 11

=====

Entry 6:
Density functional theory data (PBE) for a geometry-optimized AlTl2WSe structure.

POSCAR file:
```
AlTl2WSe
1.0
5.524 0.000 0.000
0.000 5.524 0.000
0.000 0.000 4.779
Al Tl W Se
1 2 1 1
Direct
0.000 0.000 0.000
0.000 0.500 0.500
0.500 0.000 0.500
0.500 0.500 0.500
0.500 0.500 0.000
```

Calculated values
Raw formation energy: 0.6497 eV per atom
Crystal system: tetragonal
Symmetry: No. 123